(1)
Compound: Dy8Er4Tm3
Source: Alexandria via LeMat-Bulk
Functional: PBE
Structure: relaxed

Results
volume	473	Å³/cell
calculated total energy	-4.4124	eV/atom
E_form	0.153	eV/atom

Unit cell a=6.850 b=6.850 c=12.285 alpha=73.81 beta=73.81 gamma=60.00
Element x y z (fractional)
Dy1 0.245 0.245 0.266
Dy2 0.250 0.752 0.748
Tm1 0.500 0.000 0.500
Er1 0.500 0.500 0.500
Er2 0.000 0.000 0.000
Dy3 0.750 0.248 0.252
Dy4 0.750 0.750 0.252
Dy5 0.752 0.250 0.748
Dy6 0.755 0.755 0.734
Dy7 0.248 0.750 0.252
Dy8 0.250 0.250 0.748
Tm2 0.000 0.500 0.500
Er3 0.336 0.336 0.992
Tm3 0.000 0.000 0.500
Er4 0.664 0.664 0.008

***

(2)
Compound: AsC3
Source: Alexandria via LeMat-Bulk
Functional: PBE
Structure: relaxed

Results
volume	42	Å³/cell
calculated total energy	-5.3967	eV/atom
E_form	2.684	eV/atom

Unit cell a=3.022 b=3.022 c=4.608 alpha=90.00 beta=90.00 gamma=90.00
Element x y z (fractional)
C1 0.500 0.500 0.356
C2 0.500 0.500 0.644
C3 0.000 0.000 0.500
As1 0.000 0.000 0.000

***

(3)
Compound: Nb3IrW
Source: Alexandria via LeMat-Bulk
Functional: PBE
Structure: relaxed

Results
volume	110	Å³/cell
calculated total energy	-9.0018	eV/atom
E_form	1.403	eV/atom

Unit cell a=4.786 b=4.786 c=4.786 alpha=90.00 beta=90.00 gamma=90.00
Element x y z (fractional)
Ir1 0.000 0.000 0.000
Nb1 0.500 0.000 0.000
Nb2 0.000 0.000 0.500
Nb3 0.000 0.500 0.000
W1 0.500 0.500 0.500

***

(4)
Compound: NiOsI2N
Source: Alexandria via LeMat-Bulk
Functional: PBE
Structure: relaxed

Results
volume	94	Å³/cell
calculated total energy	-4.3089	eV/atom
formation energy from raw total energies	1378	meV/atom

Unit cell a=5.271 b=5.271 c=3.375 alpha=90.00 beta=90.00 gamma=90.00
Element x y z (fractional)
I1 0.500 0.000 0.000
I2 0.000 0.500 0.000
Ni1 0.000 0.000 0.000
N1 0.000 0.000 0.500
Os1 0.500 0.500 0.500

***

(5)
Compound: CaIn2Pd2
Source: Alexandria via LeMat-Bulk
Functional: PBE
Structure: relaxed

Results
volume	118	Å³/cell
calculated total energy	-4.0814	eV/atom
E_form	-0.509	eV/atom

Unit cell a=4.913 b=4.913 c=6.001 alpha=65.84 beta=65.84 gamma=90.00
Element x y z (fractional)
In1 0.355 0.355 0.289
Pd1 0.750 0.250 0.500
In2 0.645 0.645 0.711
Ca1 0.000 0.000 0.000
Pd2 0.250 0.750 0.500

***

(6)
Compound: Zr2Ga2Pd3
Source: Alexandria via LeMat-Bulk
Functional: PBE
Structure: relaxed

Results
volume	122	Å³/cell
calculated total energy	-6.1859	eV/atom
E_form	-0.653	eV/atom

Unit cell a=3.831 b=5.362 c=6.396 alpha=97.10 beta=90.00 gamma=110.93
Element x y z (fractional)
Pd1 0.305 0.611 0.138
Zr1 0.376 0.753 0.693
Pd2 0.695 0.389 0.862
Ga1 0.096 0.191 0.643
Pd3 0.000 0.000 0.000
Ga2 0.904 0.809 0.357
Zr2 0.624 0.247 0.307

***

(7)
Compound: La2Pr2Nd4Dy
Source: Alexandria via LeMat-Bulk
Functional: PBE
Structure: relaxed

Results
volume	321	Å³/cell
calculated total energy	-4.7760	eV/atom
E_form	0.012	eV/atom

Unit cell a=3.722 b=9.826 c=9.899 alpha=115.10 beta=90.00 gamma=100.92
Element x y z (fractional)
Nd1 0.518 0.037 0.329
Nd2 0.815 0.631 0.667
Pr1 0.148 0.295 0.667
Nd3 0.482 0.963 0.671
La1 0.665 0.330 0.000
La2 0.335 0.670 0.000
Nd4 0.185 0.369 0.333
Dy1 0.000 0.000 0.000
Pr2 0.852 0.705 0.333

***

(8)
Compound: AcFeGe3
Source: Alexandria via LeMat-Bulk
Functional: PBE
Structure: relaxed

Results
volume	100	Å³/cell
calculated total energy	-5.7516	eV/atom
E_form	-0.467	eV/atom

Unit cell a=4.450 b=4.450 c=5.952 alpha=111.95 beta=111.95 gamma=90.00
Element x y z (fractional)
Fe1 0.660 0.660 0.320
Ac1 0.997 0.997 0.995
Ge1 0.431 0.431 0.861
Ge2 0.751 0.251 0.502
Ge3 0.251 0.751 0.502